(1)
TbDy5Te6 | PBE-GGA | optimized geometry

Results
DFT total energy	-5.16	eV per atom
space group	C2/m (12)
raw formation energy	-1.285	eV per atom
total moment	0.000	μB per formula unit

Geometry as CIF:
```
data_TbDy5Te6
_symmetry_space_group_name_H-M 'P 1'
_symmetry_Int_Tables_number 1
_cell_length_a 7.536
_cell_length_b 7.531
_cell_length_c 7.557
_cell_angle_alpha 60.11
_cell_angle_beta 80.37
_cell_angle_gamma 70.39
loop_
_symmetry_equiv_pos_as_xyz
'x,y,z'
loop_
_atom_site_label
_atom_site_type_symbol
_atom_site_fract_x
_atom_site_fract_y
_atom_site_fract_z
Te1 Te 0.751 0.748 0.000
Te2 Te 0.251 0.581 0.335
Dy1 Dy 0.000 0.667 0.667
Dy2 Dy 0.500 0.835 0.330
Dy3 Dy 0.000 0.333 0.333
Te3 Te 0.749 0.084 0.335
Tb1 Tb 0.000 0.000 0.000
Dy4 Dy 0.500 0.165 0.670
Te4 Te 0.249 0.252 0.000
Te5 Te 0.251 0.916 0.665
Te6 Te 0.749 0.419 0.665
Dy5 Dy 0.500 0.500 0.000
```

(2)
NaPr2N | PBE-GGA | optimized geometry

Results
energy above the most stable polymorph in this dataset	0	meV per atom
DFT total energy	-5.35	eV per atom
space group	R-3m (166)
raw formation energy	-0.545	eV per atom
total moment	0.000	μB per formula unit

Geometry as CIF:
```
data_NaPr2N
_symmetry_space_group_name_H-M 'P 1'
_symmetry_Int_Tables_number 1
_cell_length_a 3.639
_cell_length_b 3.639
_cell_length_c 10.403
_cell_angle_alpha 79.93
_cell_angle_beta 79.93
_cell_angle_gamma 60.00
loop_
_symmetry_equiv_pos_as_xyz
'x,y,z'
loop_
_atom_site_label
_atom_site_type_symbol
_atom_site_fract_x
_atom_site_fract_y
_atom_site_fract_z
Na1 Na 0.000 0.000 0.000
Pr1 Pr 0.879 0.879 0.364
N1 N 0.500 0.500 0.500
Pr2 Pr 0.121 0.121 0.636
```

(3)
CeSiRu2C | PBE-GGA | optimized geometry

Results
DFT total energy	-8.41	eV per atom
space group	Cmcm (63)
raw formation energy	-0.580	eV per atom
total moment	0.216	μB per formula unit

Geometry as CIF:
```
data_CeSiRu2C
_symmetry_space_group_name_H-M 'P 1'
_symmetry_Int_Tables_number 1
_cell_length_a 5.936
_cell_length_b 5.936
_cell_length_c 7.132
_cell_angle_alpha 90.00
_cell_angle_beta 90.00
_cell_angle_gamma 141.61
loop_
_symmetry_equiv_pos_as_xyz
'x,y,z'
loop_
_atom_site_label
_atom_site_type_symbol
_atom_site_fract_x
_atom_site_fract_y
_atom_site_fract_z
Ce1 Ce 0.447 0.553 0.750
C1 C 0.000 0.000 0.000
Ce2 Ce 0.553 0.447 0.250
Ru1 Ru 0.836 0.164 0.444
C2 C 0.000 0.000 0.500
Si1 Si 0.727 0.273 0.750
Si2 Si 0.273 0.727 0.250
Ru2 Ru 0.164 0.836 0.944
Ru3 Ru 0.836 0.164 0.056
Ru4 Ru 0.164 0.836 0.556
```

(4)
La5Nd2Th | PBE-GGA | optimized geometry

Results
energy above the most stable polymorph in this dataset	0	meV per atom
formation energy	51	meV/atom
DFT total energy	-5.15	eV per atom
space group	C2/m (12)
total moment	0.000	μB per formula unit

Geometry as CIF:
```
data_La5Nd2Th
_symmetry_space_group_name_H-M 'P 1'
_symmetry_Int_Tables_number 1
_cell_length_a 3.612
_cell_length_b 11.452
_cell_length_c 9.113
_cell_angle_alpha 128.85
_cell_angle_beta 101.48
_cell_angle_gamma 89.97
loop_
_symmetry_equiv_pos_as_xyz
'x,y,z'
loop_
_atom_site_label
_atom_site_type_symbol
_atom_site_fract_x
_atom_site_fract_y
_atom_site_fract_z
La1 La 0.000 0.500 0.000
La2 La 0.624 0.378 0.248
Nd1 Nd 0.257 0.757 0.513
La3 La 0.624 0.870 0.247
Nd2 Nd 0.743 0.243 0.487
Th1 Th 0.000 0.000 0.000
La4 La 0.376 0.622 0.752
La5 La 0.376 0.130 0.753
```

(5)
Er10Ru10C19 | PBE-GGA | optimized geometry

Results
formation energy	-264	meV/atom
DFT total energy	-8.31	eV per atom
space group	Cm (8)
total moment	0.512	μB per formula unit

Geometry as CIF:
```
data_Er10Ru10C19
_symmetry_space_group_name_H-M 'P 1'
_symmetry_Int_Tables_number 1
_cell_length_a 8.174
_cell_length_b 8.174
_cell_length_c 10.035
_cell_angle_alpha 70.86
_cell_angle_beta 70.86
_cell_angle_gamma 52.55
loop_
_symmetry_equiv_pos_as_xyz
'x,y,z'
loop_
_atom_site_label
_atom_site_type_symbol
_atom_site_fract_x
_atom_site_fract_y
_atom_site_fract_z
Er1 Er 0.016 0.016 0.620
Ru1 Ru 0.598 0.023 0.157
Ru2 Ru 0.936 0.417 0.604
Er2 Er 0.478 0.478 0.011
C1 C 0.688 0.183 0.217
C2 C 0.286 0.791 0.805
Ru3 Ru 0.220 0.726 0.416
Ru4 Ru 0.097 0.671 0.864
C3 C 0.860 0.355 0.444
Ru5 Ru 0.671 0.097 0.864
Ru6 Ru 0.461 0.894 0.011
Er3 Er 0.510 0.510 0.637
C4 C 0.791 0.286 0.805
Ru7 Ru 0.417 0.936 0.604
Er4 Er 0.143 0.143 0.235
Ru8 Ru 0.726 0.220 0.416
Ru9 Ru 0.023 0.598 0.157
Er5 Er 0.751 0.751 0.760
C5 C 0.787 0.787 0.011
C6 C 0.459 0.954 0.369
Er6 Er 0.323 0.323 0.386
C7 C 0.636 0.135 0.652
C8 C 0.183 0.688 0.217
Er7 Er 0.822 0.822 0.399
C9 C 0.085 0.564 0.577
Er8 Er 0.001 0.001 0.010
C10 C 0.135 0.636 0.652
C11 C 0.285 0.786 0.176
C12 C 0.188 0.392 0.011
C13 C 0.368 0.869 0.846
C14 C 0.564 0.085 0.577
C15 C 0.355 0.860 0.444
Er9 Er 0.626 0.626 0.262
C16 C 0.786 0.285 0.176
Er10 Er 0.255 0.255 0.786
Ru10 Ru 0.894 0.461 0.011
C17 C 0.392 0.188 0.011
C18 C 0.954 0.459 0.369
C19 C 0.869 0.368 0.846
```

(6)
SrGaAg3 | PBE-GGA | optimized geometry

Results
energy above the most stable polymorph in this dataset	1082	meV per atom
formation energy	852	meV/atom
DFT total energy	-1.80	eV per atom
space group	Pm-3m (221)
total moment	0.000	μB per formula unit

Geometry as CIF:
```
data_SrGaAg3
_symmetry_space_group_name_H-M 'P 1'
_symmetry_Int_Tables_number 1
_cell_length_a 5.891
_cell_length_b 5.891
_cell_length_c 5.891
_cell_angle_alpha 90.00
_cell_angle_beta 90.00
_cell_angle_gamma 90.00
loop_
_symmetry_equiv_pos_as_xyz
'x,y,z'
loop_
_atom_site_label
_atom_site_type_symbol
_atom_site_fract_x
_atom_site_fract_y
_atom_site_fract_z
Sr1 Sr 0.000 0.000 0.000
Ag1 Ag 0.500 0.000 0.000
Ga1 Ga 0.500 0.500 0.500
Ag2 Ag 0.000 0.000 0.500
Ag3 Ag 0.000 0.500 0.000
```

(7)
ZnTe | PBE-GGA | optimized geometry

Results
DFT total energy	-2.67	eV per atom
space group	F-43m (216)
raw formation energy	-0.467	eV per atom
total moment	0.000	μB per formula unit

Geometry as CIF:
```
data_ZnTe
_symmetry_space_group_name_H-M 'P 1'
_symmetry_Int_Tables_number 1
_cell_length_a 4.369
_cell_length_b 4.369
_cell_length_c 4.369
_cell_angle_alpha 60.00
_cell_angle_beta 89.97
_cell_angle_gamma 119.97
loop_
_symmetry_equiv_pos_as_xyz
'x,y,z'
loop_
_atom_site_label
_atom_site_type_symbol
_atom_site_fract_x
_atom_site_fract_y
_atom_site_fract_z
Te1 Te 0.360 0.280 0.693
Zn1 Zn 0.110 0.780 0.443
```

(8)
K3Pm2TiSe6 | PBE-GGA | optimized geometry

Results
DFT total energy	-4.99	eV per atom
space group	C2/m (12)
raw formation energy	-1.524	eV per atom
total moment	1.003	μB per formula unit

Geometry as CIF:
```
data_K3Pm2TiSe6
_symmetry_space_group_name_H-M 'P 1'
_symmetry_Int_Tables_number 1
_cell_length_a 7.238
_cell_length_b 7.238
_cell_length_c 8.052
_cell_angle_alpha 98.66
_cell_angle_beta 98.66
_cell_angle_gamma 120.03
loop_
_symmetry_equiv_pos_as_xyz
'x,y,z'
loop_
_atom_site_label
_atom_site_type_symbol
_atom_site_fract_x
_atom_site_fract_y
_atom_site_fract_z
K1 K 0.171 0.829 0.500
Se1 Se 0.623 0.932 0.797
Se2 Se 0.932 0.623 0.797
Se3 Se 0.068 0.377 0.203
Se4 Se 0.240 0.240 0.797
Se5 Se 0.377 0.068 0.203
Pm1 Pm 0.334 0.666 0.000
Ti1 Ti 0.000 0.000 0.000
K2 K 0.829 0.171 0.500
Se6 Se 0.760 0.760 0.203
Pm2 Pm 0.666 0.334 0.000
K3 K 0.500 0.500 0.500
```

> What is the formula in the seventh record?

ZnTe

> What is the total moment in the eighth record?

1.003 μB per formula unit

> Number 8 is which compound?

K3Pm2TiSe6